Computed, not measured: a relaxed structure of Tb5Er5Sc at the PBE level of DFT.

Calculated values
The calculation puts the formation energy at 0.373 eV/atom. Its crystal system is hexagonal. The calculation puts the total DFT energy (no corrections) at -48.19 eV for the cell shown.

The structure in CIF format:
```
data_Tb5Er5Sc
_chemical_formula_sum 'Tb5 Er5 Sc1'
_space_group_name_H-M_alt 'P -6 m 2'
_space_group_IT_number 187
_space_group_name_Hall 'P -6 2'
_cell_length_a 6.0044
_cell_length_b 6.0044
_cell_length_c 11.3533
_cell_angle_alpha 90.00
_cell_angle_beta 90.00
_cell_angle_gamma 120.00
loop_
_atom_site_label
_atom_site_fract_x
_atom_site_fract_y
_atom_site_fract_z
Tb1 0.0000 0.0000 0.2367
Tb2 0.3379 0.1690 0.0000
Er1 0.0000 0.0000 0.5000
Er2 0.3333 0.6667 0.1903
Er3 0.6667 0.3333 0.3429
Sc1 0.3333 0.6667 0.5000
```